1.
A relaxed structure of MnSbRu. Source: Alexandria via LeMat-Bulk, functional PBE.

Unit cell a=5.310 b=3.891 c=5.329 alpha=90.00 beta=106.93 gamma=90.00
Space group P2_1/m (No. 11)
Symmetry-distinct sites (fractional):
Mn 0.115 0.250 0.360 [2 per cell]
Sb 0.239 0.250 0.905 [2 per cell]
Ru 0.383 0.750 0.618 [2 per cell]

Results
* electronic total energy: -44.4 eV/cell
* E_form (uncorrected): 0.123 eV per atom

=====

2.
A relaxed structure of MnSb2Ru. Source: Alexandria via LeMat-Bulk, functional PBE.

Unit cell a=3.2515 b=3.2515 c=24.5908 alpha=90.00 beta=90.00 gamma=120.00
Space group R-3m (No. 166, hexagonal axes)
Symmetry-distinct sites (fractional):
Mn 0.0000 0.0000 0.0000 [3 per cell]
Sb 0.0000 0.0000 0.2475 [6 per cell]
Ru 0.0000 0.0000 0.5000 [3 per cell]

Results
* distance to the lowest polymorph of the same formula: 0.167 eV per atom
* electronic total energy: -77.5 eV/cell
* E_form (uncorrected): 0.215 eV per atom

=====

3.
A relaxed structure of MnSbRu4. Source: Alexandria via LeMat-Bulk, functional PBE.

Unit cell a=7.301 b=7.301 c=7.301 alpha=90.00 beta=90.00 gamma=90.00
Space group F-43m (No. 216)
Symmetry-distinct sites (fractional):
Mn 0.000 0.000 0.000 [4 per cell]
Sb 0.250 0.250 0.750 [4 per cell]
Ru 0.125 0.125 0.375 [16 per cell]

Results
* electronic total energy: -189.5 eV/cell
* E_form (uncorrected): 0.502 eV per atom

=====

4.
A relaxed structure of Mn2SbRu. Source: Alexandria via LeMat-Bulk, functional PBE.

Unit cell a=3.876 b=3.876 c=17.898 alpha=90.00 beta=90.00 gamma=90.00
Space group I-42d (No. 122)
Symmetry-distinct sites (fractional):
Mn 0.244 0.250 0.125 [8 per cell]
Sb 0.000 0.000 0.500 [4 per cell]
Ru 0.000 0.000 0.000 [4 per cell]

Results
* electronic total energy: -118.6 eV/cell
* E_form (uncorrected): 0.522 eV per atom

=====

5.
A relaxed structure of MnSbRu. Source: Alexandria via LeMat-Bulk, functional PBE.

Unit cell a=8.866 b=2.983 c=9.420 alpha=90.00 beta=109.47 gamma=90.00
Space group Cm (No. 8)
Symmetry-distinct sites (fractional):
Mn 0.000 0.000 0.000 [2 per cell]
Mn 0.172 0.500 0.877 [2 per cell]
Sb 0.201 0.500 0.512 [2 per cell]
Sb 0.325 0.000 0.142 [2 per cell]
Ru 0.034 0.000 0.657 [2 per cell]
Ru 0.357 0.000 0.775 [2 per cell]

Results
* electronic total energy: -88.9 eV/cell
* E_form (uncorrected): 0.112 eV per atom

=====

6.
A relaxed structure of MnSbRu. Source: Alexandria via LeMat-Bulk, functional PBE.

Unit cell a=3.433 b=3.433 c=8.535 alpha=90.00 beta=90.00 gamma=90.00
Space group I4mm (No. 107)
Symmetry-distinct sites (fractional):
Mn 0.000 0.000 0.000 [2 per cell]
Sb 0.000 0.000 0.674 [2 per cell]
Ru 0.000 0.000 0.338 [2 per cell]

Results
* electronic total energy: -44.3 eV/cell
* E_form (uncorrected): 0.146 eV per atom

=====

7.
A relaxed structure of Mn2SiSbRu. Source: Alexandria via LeMat-Bulk, functional PBE.

Unit cell a=4.849 b=4.849 c=4.894 alpha=90.00 beta=90.00 gamma=90.00
Space group P4/mmm (No. 123)
Symmetry-distinct sites (fractional):
Mn 0.000 0.500 0.000 [2 per cell]
Si 0.000 0.000 0.500 [1 per cell]
Sb 0.500 0.500 0.500 [1 per cell]
Ru 0.500 0.500 0.000 [1 per cell]

Results
* electronic total energy: -32.5 eV/cell
* E_form (uncorrected): 0.939 eV per atom

=====

8.
A relaxed structure of TaMnSb2Ru. Source: Alexandria via LeMat-Bulk, functional PBE.

Unit cell a=4.852 b=4.852 c=4.362 alpha=90.00 beta=90.00 gamma=90.00
Space group P4/mmm (No. 123)
Symmetry-distinct sites (fractional):
Ta 0.000 0.000 0.000 [1 per cell]
Mn 0.500 0.500 0.500 [1 per cell]
Sb 0.000 0.500 0.500 [2 per cell]
Ru 0.500 0.500 0.000 [1 per cell]

Results
* electronic total energy: -33.0 eV/cell
* E_form (uncorrected): 1.100 eV per atom

=====

9.
A relaxed structure of MnTcSbRu. Source: Alexandria via LeMat-Bulk, functional PBE.

Unit cell a=6.244 b=6.244 c=6.244 alpha=90.00 beta=90.00 gamma=90.00
Space group F-43m (No. 216)
Symmetry-distinct sites (fractional):
Mn 0.000 0.000 0.000 [4 per cell]
Tc 0.250 0.250 0.250 [4 per cell]
Sb 0.000 0.000 0.500 [4 per cell]
Ru 0.250 0.250 0.750 [4 per cell]

Results
* electronic total energy: -132.8 eV/cell
* E_form (uncorrected): -0.064 eV per atom

=====

10.
A relaxed structure of MnSb2TeRu. Source: Alexandria via LeMat-Bulk, functional PBE.

Unit cell a=4.911 b=4.911 c=5.005 alpha=90.00 beta=90.00 gamma=90.00
Space group P4/mmm (No. 123)
Symmetry-distinct sites (fractional):
Mn 0.000 0.000 0.000 [1 per cell]
Sb 0.000 0.500 0.000 [2 per cell]
Te 0.000 0.000 0.500 [1 per cell]
Ru 0.500 0.500 0.500 [1 per cell]

Results
* distance to the lowest polymorph of the same formula: 0.000 eV per atom
* electronic total energy: -25.1 eV/cell
* E_form (uncorrected): 0.939 eV per atom

=====

11.
A relaxed structure of MnZnSbRu. Source: Alexandria via LeMat-Bulk, functional PBE.

Unit cell a=6.306 b=6.306 c=6.306 alpha=90.00 beta=90.00 gamma=90.00
Space group F-43m (No. 216)
Symmetry-distinct sites (fractional):
Mn 0.000 0.000 0.000 [4 per cell]
Zn 0.250 0.250 0.250 [4 per cell]
Sb 0.250 0.250 0.750 [4 per cell]
Ru 0.000 0.000 0.500 [4 per cell]

Results
* electronic total energy: -94.1 eV/cell
* E_form (uncorrected): 0.079 eV per atom

=====

12.
A relaxed structure of ScMn3Ru. Source: Alexandria via LeMat-Bulk, functional PBE.

Unit cell a=4.664 b=4.664 c=4.664 alpha=90.00 beta=90.00 gamma=90.00
Space group Pm-3m (No. 221)
Symmetry-distinct sites (fractional):
Sc 0.000 0.000 0.000 [1 per cell]
Mn 0.000 0.500 0.500 [3 per cell]
Ru 0.500 0.500 0.500 [1 per cell]

Results
* distance to the lowest polymorph of the same formula: 0.000 eV per atom
* electronic total energy: -38.9 eV/cell
* formation energy from the elements: 4.2 eV per formula unit

=====

13.
A relaxed structure of Sc4MnRu. Source: Alexandria via LeMat-Bulk, functional PBE.

Unit cell a=7.808 b=7.808 c=7.808 alpha=90.00 beta=90.00 gamma=90.00
Space group F-43m (No. 216)
Symmetry-distinct sites (fractional):
Sc 0.124 0.124 0.376 [16 per cell]
Mn 0.000 0.000 0.000 [4 per cell]
Ru 0.250 0.250 0.750 [4 per cell]

Results
* electronic total energy: -161.9 eV/cell
* formation energy from the elements: 3.3 eV per formula unit

=====

14.
A relaxed structure of Sc3MnRu. Source: Alexandria via LeMat-Bulk, functional PBE.

Unit cell a=4.965 b=4.965 c=4.965 alpha=90.00 beta=90.00 gamma=90.00
Space group Pm-3m (No. 221)
Symmetry-distinct sites (fractional):
Sc 0.000 0.000 0.500 [3 per cell]
Mn 0.500 0.500 0.500 [1 per cell]
Ru 0.000 0.000 0.000 [1 per cell]

Results
* distance to the lowest polymorph of the same formula: 0.000 eV per atom
* electronic total energy: -36.4 eV/cell
* formation energy from the elements: 1.0 eV per formula unit

=====

15.
A relaxed structure of Sc2MnRu. Source: Alexandria via LeMat-Bulk, functional PBE.

Unit cell a=7.199 b=7.199 c=5.781 alpha=90.00 beta=90.00 gamma=90.00
Space group I-42d (No. 122)
Symmetry-distinct sites (fractional):
Sc 0.224 0.750 0.125 [8 per cell]
Mn 0.000 0.000 0.500 [4 per cell]
Ru 0.000 0.000 0.000 [4 per cell]

Results
* electronic total energy: -121.3 eV/cell
* formation energy from the elements: 0.8 eV per formula unit

=====

16.
A relaxed structure of Sc2MnRu. Source: Alexandria via LeMat-Bulk, functional PBE.

Unit cell a=3.232 b=4.518 c=9.589 alpha=90.00 beta=90.00 gamma=90.00
Space group Imm2 (No. 44)
Symmetry-distinct sites (fractional):
Sc 0.000 0.000 0.000 [2 per cell]
Sc 0.000 0.500 0.218 [2 per cell]
Mn 0.000 0.500 0.775 [2 per cell]
Ru 0.000 0.000 0.484 [2 per cell]

Results
* electronic total energy: -64.0 eV/cell
* formation energy from the elements: -0.9 eV per formula unit

=====

17.
A relaxed structure of ScMn2Ru2. Source: Alexandria via LeMat-Bulk, functional PBE.

Unit cell a=7.182 b=7.182 c=2.747 alpha=90.00 beta=90.00 gamma=90.00
Space group P4/mbm (No. 127)
Symmetry-distinct sites (fractional):
Sc 0.000 0.000 0.000 [2 per cell]
Mn 0.115 0.385 0.000 [4 per cell]
Ru 0.176 0.676 0.500 [4 per cell]

Results
* distance to the lowest polymorph of the same formula: 0.000 eV per atom
* electronic total energy: -86.4 eV/cell
* formation energy from the elements: 0.0 eV per formula unit

=====

18.
A relaxed structure of Sc2MnRu. Source: Alexandria via LeMat-Bulk, functional PBE.

Unit cell a=3.1002 b=3.1002 c=27.0048 alpha=90.00 beta=90.00 gamma=120.00
Space group R3m (No. 160, hexagonal axes)
Symmetry-distinct sites (fractional):
Sc 0.0000 0.0000 0.0000 [3 per cell]
Sc 0.0000 0.0000 0.2248 [3 per cell]
Mn 0.0000 0.0000 0.4756 [3 per cell]
Ru 0.0000 0.0000 0.7378 [3 per cell]

Results
* electronic total energy: -91.3 eV/cell
* formation energy from the elements: 0.7 eV per formula unit

=====

19.
A relaxed structure of ScMnRu. Source: Alexandria via LeMat-Bulk, functional PBE.

Unit cell a=4.2881 b=4.2881 c=3.0846 alpha=90.00 beta=90.00 gamma=120.00
Space group P3m1 (No. 156)
Symmetry-distinct sites (fractional):
Sc 0.0000 0.0000 0.0000 [1 per cell]
Mn 0.6667 0.3333 0.4529 [1 per cell]
Ru 0.3333 0.6667 0.5919 [1 per cell]

Results
* distance to the lowest polymorph of the same formula: 0.248 eV per atom
* electronic total energy: -24.9 eV/cell
* formation energy from the elements: -0.2 eV per formula unit

=====

20.
A relaxed structure of ScMnRu. Source: Alexandria via LeMat-Bulk, functional PBE.

Unit cell a=2.9315 b=2.9315 c=6.4243 alpha=90.00 beta=90.00 gamma=120.00
Space group P3m1 (No. 156)
Symmetry-distinct sites (fractional):
Sc 0.0000 0.0000 0.0000 [1 per cell]
Mn 0.6667 0.3333 0.3559 [1 per cell]
Ru 0.3333 0.6667 0.6542 [1 per cell]

Results
* distance to the lowest polymorph of the same formula: 0.483 eV per atom
* electronic total energy: -24.2 eV/cell
* formation energy from the elements: 0.5 eV per formula unit

=====

| no. | ρ (g/cm3) |
| --- | --- |
| 1 | 8.8 |
| 2 | 8.8 |
| 3 | 9.9 |
| 4 | 8.2 |
| 5 | 7.9 |
| 6 | 9.2 |
| 7 | 5.2 |
| 8 | 9.4 |
| 9 | 10.3 |
| 10 | 7.3 |
| 11 | 9.1 |
| 12 | 5.1 |
| 13 | 4.7 |
| 14 | 3.9 |
| 15 | 5.5 |
| 16 | 5.8 |
| 17 | 8.4 |
| 18 | 5.5 |
| 19 | 6.8 |
| 20 | 7.0 |